Below is a geometry-optimized CrCoReHg2 structure, with properties calculated at the GGA-PBE level.

Output
Calculated volume: 21.05 Å³/atom
E_tot: -4.722 eV/atom

a b c (Å): 4.8587 4.4594 4.8587
angles (deg): 90.00 90.00 90.00
With the nearest neighbours (Å) after each atom.
Sites, in units of the cell vectors:
1 Re 0.0000 0.5000 0.0000  2 Co 2.23
2 Co 0.0000 0.0000 0.0000  2 Re 2.23, 4 Hg 2.43
3 Hg 0.0000 0.0000 0.5000  2 Co 2.43
4 Hg 0.5000 0.0000 0.0000  2 Co 2.43
5 Cr 0.5000 0.5000 0.5000  8 Hg 3.30, 4 Re 3.44

=====

Below is a geometry-optimized InCuSn structure, with properties calculated at the GGA-PBE level.

Output
Calculated volume: 21.89 Å³/atom
E_tot: -3.577 eV/atom

a b c (Å): 3.7097 8.8567 4.0943
angles (deg): 89.98 90.01 102.45
With the nearest neighbours (Å) after each atom.
Sites, in units of the cell vectors:
1 Sn 0.8375 0.4529 0.0475  6 Cu 2.83-2.86
2 Sn 0.6718 0.1298 0.5480  6 Cu 2.83-2.86
3 Cu 0.3012 0.3813 0.5482  2 Cu 2.57, 1 In 2.74, 6 Sn 2.83-2.86
4 Cu 0.2075 0.2015 0.0486  2 Cu 2.57, 1 In 2.74, 6 Sn 2.83-2.86
5 In 0.0520 0.8843 0.0465  1 Cu 2.74
6 In 0.4590 0.6984 0.5465  1 Cu 2.74

=====

Below is a geometry-optimized BeNi2HPt structure, with properties calculated at the GGA-PBE level.

Output
Calculated volume: 9.57 Å³/atom
E_tot: -5.151 eV/atom
Energy above the lowest structure with this stoichiometry: 0 meV/atom

a b c (Å): 3.4930 3.4930 3.9216
angles (deg): 90.00 90.00 90.00
With the nearest neighbours (Å) after each atom.
Sites, in units of the cell vectors:
1 Ni 0.0000 0.5000 0.0000  2 H 1.75
2 Ni 0.5000 0.0000 0.0000  2 H 1.75
3 H 0.0000 0.0000 0.0000  4 Ni 1.75
4 Pt 0.5000 0.5000 0.5000  4 Be 2.47, 8 Ni 2.63
5 Be 0.0000 0.0000 0.5000  2 H 1.96

=====

Below is a geometry-optimized ZnSi4Te structure, with properties calculated at the GGA-PBE level.

Output
Calculated volume: 17.88 Å³/atom
E_tot: -3.777 eV/atom
E_form (uncorrected): 0.5745 eV/atom

a b c (Å): 5.3337 5.3337 5.3337
angles (deg): 60.00 60.00 60.00
With the nearest neighbours (Å) after each atom.
Sites, in units of the cell vectors:
1 Zn 0.0000 0.0000 0.0000  12 Si 3.12, 4 Te 3.27
2 Si 0.6265 0.6265 0.1204  6 Si 2.63-2.70
3 Si 0.6265 0.1204 0.6265  6 Si 2.63-2.70
4 Si 0.6265 0.6265 0.6265  6 Si 2.63-2.70
5 Si 0.1204 0.6265 0.6265  6 Si 2.63-2.70
6 Te 0.2500 0.2500 0.2500  12 Si 3.13, 4 Zn 3.27

=====

Below is a geometry-optimized Cr2Ag2Pb structure, with properties calculated at the GGA-PBE level.

Output
Calculated volume: 19.17 Å³/atom
E_tot: -5.039 eV/atom
Energy above the lowest structure with this stoichiometry: 102 meV/atom

a b c (Å): 8.0504 8.0504 2.9585
angles (deg): 90.00 90.00 90.00
With the nearest neighbours (Å) after each atom.
Sites, in units of the cell vectors:
1 Pb 0.0000 0.0000 0.0000  4 Ag 2.90, 2 Pb 2.96
2 Pb 0.5000 0.5000 0.0000  4 Ag 2.90, 2 Pb 2.96
3 Cr 0.0808 0.5808 0.5000  1 Cr 1.84
4 Cr 0.5808 0.9192 0.5000  1 Cr 1.84
5 Cr 0.9192 0.4192 0.5000  1 Cr 1.84
6 Cr 0.4192 0.0808 0.5000  1 Cr 1.84
7 Ag 0.3008 0.8008 0.0000  6 Cr 2.86-2.91, 2 Pb 2.90, 2 Ag 2.96
8 Ag 0.8008 0.6992 0.0000  6 Cr 2.86-2.91, 2 Pb 2.90, 2 Ag 2.96
9 Ag 0.6992 0.1992 0.0000  6 Cr 2.86-2.91, 2 Pb 2.90, 2 Ag 2.96
10 Ag 0.1992 0.3008 0.0000  6 Cr 2.86-2.91, 2 Pb 2.90, 2 Ag 2.96

=====

Below is a geometry-optimized La2Ho8Tm3 structure, with properties calculated at the GGA-PBE level.

Output
Calculated volume: 33.62 Å³/atom
E_tot: -4.367 eV/atom

a b c (Å): 5.4554 7.5918 11.2155
angles (deg): 109.80 90.00 90.00
With the nearest neighbours (Å) after each atom.
Sites, in units of the cell vectors:
1 La 0.4999 0.2399 0.4795  8 Ho 3.49-3.67, 2 La 3.82
2 La 0.5001 0.7601 0.5205  8 Ho 3.49-3.67, 2 La 3.82
3 Ho 0.0000 0.6572 0.3141  4 Ho 3.36, 2 La 3.49, 2 Tm 3.69
4 Ho 0.0000 0.3428 0.6859  4 Ho 3.36, 2 La 3.49, 2 Tm 3.69
5 Ho 0.9999 0.1235 0.2471  4 Tm 3.40-3.77, 4 Ho 3.51, 2 La 3.67
6 Ho 0.0001 0.8765 0.7529  4 Tm 3.40-3.77, 4 Ho 3.51, 2 La 3.67
7 Ho 0.5000 0.6086 0.7912  1 Tm 3.10, 3 Ho 3.24-3.36
8 Ho 0.5000 0.1822 0.7912  1 Tm 3.10, 3 Ho 3.24-3.36
9 Ho 0.5000 0.8178 0.2088  1 Tm 3.10, 3 Ho 3.24-3.36
10 Ho 0.5000 0.3914 0.2088  1 Tm 3.10, 3 Ho 3.24-3.36
11 Tm 0.5000 0.0000 0.0000  4 Ho 3.10
12 Tm 0.0000 0.2873 0.0001  3 Tm 3.23-3.49, 6 Ho 3.40-3.51
13 Tm 0.0000 0.7127 0.9999  3 Tm 3.23-3.49, 6 Ho 3.40-3.51

=====

Below is a geometry-optimized La4FeAu2 structure, with properties calculated at the GGA-PBE level.

Output
Calculated volume: 29.04 Å³/atom
E_tot: -5.308 eV/atom

a b c (Å): 5.0458 5.0458 8.7456
angles (deg): 106.77 106.77 90.00
With the nearest neighbours (Å) after each atom.
Sites, in units of the cell vectors:
1 Au 0.6338 0.6338 0.2675  5 La 2.97-3.31
2 Au 0.3662 0.3662 0.7325  5 La 2.97-3.31
3 Fe 0.0000 0.0000 0.0000  4 La 2.52
4 La 0.8200 0.8200 0.6399  1 Fe 2.88, 1 Au 2.97
5 La 0.1800 0.1800 0.3601  1 Fe 2.88, 1 Au 2.97
6 La 0.0000 0.5000 0.0000  2 Fe 2.52
7 La 0.5000 0.0000 0.0000  2 Fe 2.52

=====

Below is a geometry-optimized Ho11Zn9Ag4 structure, with properties calculated at the GGA-PBE level.

Output
Calculated volume: 22.56 Å³/atom
E_tot: -3.353 eV/atom

a b c (Å): 3.6016 12.7172 12.7172
angles (deg): 111.63 90.00 90.00
With the nearest neighbours (Å) after each atom.
Sites, in units of the cell vectors:
1 Ho 0.0000 0.5882 0.9300  2 Ag 3.03, 6 Zn 3.09-3.12, 1 Ho 3.34
2 Ho 0.0000 0.4118 0.0700  2 Ag 3.03, 6 Zn 3.09-3.12, 1 Ho 3.34
3 Ho 0.0000 0.9300 0.5882  2 Ag 3.03, 6 Zn 3.09-3.12, 1 Ho 3.34
4 Ho 0.0000 0.0700 0.4118  2 Ag 3.03, 6 Zn 3.09-3.12, 1 Ho 3.34
5 Ho 0.0000 0.6539 0.3461  4 Ag 3.04, 4 Zn 3.08
6 Ho 0.0000 0.3461 0.6539  4 Ag 3.04, 4 Zn 3.08
7 Ho 0.0000 0.8279 0.1721  8 Zn 3.05-3.11
8 Ho 0.0000 0.1721 0.8279  8 Zn 3.05-3.11
9 Ho 0.0000 0.0000 0.0000  8 Zn 3.06
10 Ho 0.0000 0.7542 0.7542  4 Ag 3.04, 4 Zn 3.09
11 Ho 0.0000 0.2458 0.2458  4 Ag 3.04, 4 Zn 3.09
12 Zn 0.5000 0.6246 0.1404  8 Ho 3.05-3.12, 1 Ag 3.27, 1 Zn 3.36
13 Zn 0.5000 0.3754 0.8596  8 Ho 3.05-3.12, 1 Ag 3.27, 1 Zn 3.36
14 Zn 0.5000 0.1404 0.6246  8 Ho 3.05-3.12, 1 Ag 3.27, 1 Zn 3.36
15 Zn 0.5000 0.8596 0.3754  8 Ho 3.05-3.12, 1 Ag 3.27, 1 Zn 3.36
16 Zn 0.5000 0.7951 0.9632  8 Ho 3.06-3.11, 1 Ag 3.40
17 Zn 0.5000 0.2049 0.0368  8 Ho 3.06-3.11, 1 Ag 3.40
18 Zn 0.5000 0.9632 0.7951  8 Ho 3.06-3.11, 1 Ag 3.40
19 Zn 0.5000 0.0368 0.2049  8 Ho 3.06-3.11, 1 Ag 3.40
20 Zn 0.5000 0.5000 0.5000  4 Ag 2.73
21 Ag 0.5000 0.5537 0.7286  1 Zn 2.73, 6 Ho 3.03-3.04
22 Ag 0.5000 0.4463 0.2714  1 Zn 2.73, 6 Ho 3.03-3.04
23 Ag 0.5000 0.7286 0.5537  1 Zn 2.73, 6 Ho 3.03-3.04
24 Ag 0.5000 0.2714 0.4463  1 Zn 2.73, 6 Ho 3.03-3.04

=====

Density, record by record: 11.015, 7.511, 11.192, 4.726, 9.127, 7.994, 8.212, 8.692 Mg/m³
Magnetization, record by record: 3.2, 0.0, 0.5, 0.0, 1.3, 0.0, 0.1, 0.0 μB/cell